(1)
{
  "formula": "Tb2GdIn3AgIr2",
  "functional": "PBE",
  "state": "optimized geometry",
  "cell": [[-1.8201, 1.5231, -3.0517], [-1.1796, -7.0918, -2.8359], [-5.2254, 3.1968, 4.7121]],
  "species": ["In", "Ir", "In", "Gd", "In", "Tb", "Ag", "Ir", "Tb"],
  "frac_coords": [[0.5000, 0.0000, 0.7321], [0.5000, 0.3332, 0.6667], [0.5000, 0.2678, 0.2678], [0.0000, 0.5873, 0.5873], [0.5000, 0.7321, 0.0000], [0.0000, 0.0000, 0.4128], [0.0000, 0.0000, 0.0000], [0.5000, 0.6667, 0.3332], [0.0000, 0.4128, 0.0000]],
  "e_tot_ev_per_atom": -5.35,
  "total_magnetization_mub_per_cell": 0.014,
  "space_group": "No. 38"
}

=====

(2)
{
  "formula": "LiInNiAg",
  "functional": "PBE",
  "state": "optimized geometry",
  "cell": [[0.0000, 3.1358, 3.1358], [3.1358, 0.0000, 3.1358], [3.1358, 3.1358, 0.0000]],
  "species": ["In", "Ag", "Li", "Ni"],
  "frac_coords": [[0.0000, 0.0000, 0.0000], [0.5000, 0.5000, 0.5000], [0.2500, 0.2500, 0.2500], [0.7500, 0.7500, 0.7500]],
  "e_tot_ev_per_atom": -3.43,
  "e_above_lowest_polymorph_ev_per_atom": 0.000,
  "total_magnetization_mub_per_cell": 0.001,
  "space_group": "No. 216"
}

=====

(3)
{
  "formula": "Tl2AgPdF6",
  "functional": "PBE",
  "state": "optimized geometry",
  "cell": [[1.4848, 2.8020, 5.1842], [-2.1830, 5.2604, -2.1201], [-3.4890, -4.9753, 0.0774]],
  "species": ["Ag", "F", "Pd", "F", "F", "Tl", "F", "F", "F", "Tl"],
  "frac_coords": [[0.5000, 0.5000, 0.0000], [0.2686, 0.7961, 0.0647], [0.0000, 0.0000, 0.0000], [0.7565, 0.7565, 0.0000], [0.2039, 0.2686, 0.4725], [0.2500, 0.7500, 0.5000], [0.7314, 0.2039, 0.9353], [0.2435, 0.2435, 0.0000], [0.7961, 0.7314, 0.5275], [0.7500, 0.2500, 0.5000]],
  "e_tot_ev_per_atom": -3.86,
  "space_group": "No. 87"
}